No. 1
# Ac5Tl2Hg2, relaxed, DFT GGA-PBE
# DFT formation energy: -0.332 eV/atom
# Calculated total energy: -0.11788 hartree per atom
data_Ac5Tl2Hg2
_chemical_formula_sum 'Ac10 Tl4 Hg4'
_cell_length_a 9.935
_cell_length_b 9.935
_cell_length_c 8.464
_cell_angle_alpha 90.00
_cell_angle_beta 90.00
_cell_angle_gamma 52.64
_symmetry_space_group_name_H-M 'P 1'
_symmetry_Int_Tables_number 1
loop_
_symmetry_equiv_pos_as_xyz
'x,y,z'
loop_
_atom_site_label
_atom_site_type_symbol
_atom_site_fract_x
_atom_site_fract_y
_atom_site_fract_z
Ac1 Ac 0.000 0.000 0.000
Ac2 Ac 0.041 0.683 0.666
Ac3 Ac 0.183 0.541 0.166
Ac4 Ac 0.317 0.959 0.666
Ac5 Ac 0.459 0.817 0.166
Ac6 Ac 0.500 0.500 0.500
Ac7 Ac 0.541 0.183 0.834
Ac8 Ac 0.683 0.041 0.334
Ac9 Ac 0.817 0.459 0.834
Ac10 Ac 0.959 0.317 0.334
Tl1 Tl 0.211 0.211 0.000
Tl2 Tl 0.289 0.289 0.500
Tl3 Tl 0.711 0.711 0.500
Tl4 Tl 0.789 0.789 0.000
Hg1 Hg 0.128 0.872 0.373
Hg2 Hg 0.372 0.628 0.873
Hg3 Hg 0.628 0.372 0.127
Hg4 Hg 0.872 0.128 0.627

No. 2
# Ac3Tl3Hg5, relaxed, DFT GGA-PBE
# DFT formation energy: -0.113 eV/atom
# Calculated total energy: -0.07409 hartree per atom
data_Ac3Tl3Hg5
_chemical_formula_sum 'Ac3 Tl3 Hg5'
_cell_length_a 10.589
_cell_length_b 10.589
_cell_length_c 3.923
_cell_angle_alpha 90.00
_cell_angle_beta 90.00
_cell_angle_gamma 120.00
_symmetry_space_group_name_H-M 'P 1'
_symmetry_Int_Tables_number 1
loop_
_symmetry_equiv_pos_as_xyz
'x,y,z'
loop_
_atom_site_label
_atom_site_type_symbol
_atom_site_fract_x
_atom_site_fract_y
_atom_site_fract_z
Ac1 Ac 0.000 0.570 0.000
Ac2 Ac 0.430 0.430 0.000
Ac3 Ac 0.570 0.000 0.000
Tl1 Tl 0.000 0.832 0.500
Tl2 Tl 0.168 0.168 0.500
Tl3 Tl 0.832 0.000 0.500
Hg1 Hg 0.000 0.328 0.500
Hg2 Hg 0.328 0.000 0.500
Hg3 Hg 0.333 0.667 0.500
Hg4 Hg 0.667 0.333 0.500
Hg5 Hg 0.672 0.672 0.500

No. 3
# AcTlHg6, relaxed, DFT GGA-PBE
# DFT formation energy: -0.205 eV/atom
# Calculated total energy: -0.04561 hartree per atom
data_AcTlHg6
_chemical_formula_sum 'Ac1 Tl1 Hg6'
_cell_length_a 5.255
_cell_length_b 6.949
_cell_length_c 6.949
_cell_angle_alpha 62.94
_cell_angle_beta 90.00
_cell_angle_gamma 90.00
_symmetry_space_group_name_H-M 'P 1'
_symmetry_Int_Tables_number 1
loop_
_symmetry_equiv_pos_as_xyz
'x,y,z'
loop_
_atom_site_label
_atom_site_type_symbol
_atom_site_fract_x
_atom_site_fract_y
_atom_site_fract_z
Ac1 Ac 0.000 0.000 0.000
Tl1 Tl 0.500 0.301 0.301
Hg1 Hg 0.000 0.484 0.484
Hg2 Hg 0.000 0.514 0.965
Hg3 Hg 0.000 0.965 0.514
Hg4 Hg 0.500 0.342 0.787
Hg5 Hg 0.500 0.787 0.342
Hg6 Hg 0.500 0.819 0.819

No. 4
# AcTl6Hg23, relaxed, DFT GGA-PBE
# DFT formation energy: -0.033 eV/atom
# Calculated total energy: -0.03213 hartree per atom
data_AcTl6Hg23
_chemical_formula_sum 'Ac1 Tl6 Hg23'
_cell_length_a 10.658
_cell_length_b 10.658
_cell_length_c 10.658
_cell_angle_alpha 60.00
_cell_angle_beta 60.00
_cell_angle_gamma 60.00
_symmetry_space_group_name_H-M 'P 1'
_symmetry_Int_Tables_number 1
loop_
_symmetry_equiv_pos_as_xyz
'x,y,z'
loop_
_atom_site_label
_atom_site_type_symbol
_atom_site_fract_x
_atom_site_fract_y
_atom_site_fract_z
Ac1 Ac 0.000 0.000 0.000
Tl1 Tl 0.281 0.281 0.719
Tl2 Tl 0.281 0.719 0.281
Tl3 Tl 0.281 0.719 0.719
Tl4 Tl 0.719 0.281 0.281
Tl5 Tl 0.719 0.281 0.719
Tl6 Tl 0.719 0.719 0.281
Hg1 Hg 0.000 0.000 0.500
Hg2 Hg 0.000 0.500 0.000
Hg3 Hg 0.000 0.500 0.500
Hg4 Hg 0.043 0.652 0.652
Hg5 Hg 0.127 0.127 0.127
Hg6 Hg 0.127 0.127 0.618
Hg7 Hg 0.127 0.618 0.127
Hg8 Hg 0.348 0.348 0.348
Hg9 Hg 0.348 0.348 0.957
Hg10 Hg 0.348 0.957 0.348
Hg11 Hg 0.382 0.873 0.873
Hg12 Hg 0.500 0.000 0.000
Hg13 Hg 0.500 0.000 0.500
Hg14 Hg 0.500 0.500 0.000
Hg15 Hg 0.500 0.500 0.500
Hg16 Hg 0.618 0.127 0.127
Hg17 Hg 0.652 0.043 0.652
Hg18 Hg 0.652 0.652 0.043
Hg19 Hg 0.652 0.652 0.652
Hg20 Hg 0.873 0.382 0.873
Hg21 Hg 0.873 0.873 0.382
Hg22 Hg 0.873 0.873 0.873
Hg23 Hg 0.957 0.348 0.348

No. 5
# AcTl4Hg, relaxed, DFT GGA-PBE
# DFT formation energy: -0.075 eV/atom
# Calculated total energy: -0.08773 hartree per atom
data_AcTl4Hg
_chemical_formula_sum 'Ac1 Tl4 Hg1'
_cell_length_a 6.449
_cell_length_b 6.449
_cell_length_c 6.449
_cell_angle_alpha 60.00
_cell_angle_beta 60.00
_cell_angle_gamma 60.00
_symmetry_space_group_name_H-M 'P 1'
_symmetry_Int_Tables_number 1
loop_
_symmetry_equiv_pos_as_xyz
'x,y,z'
loop_
_atom_site_label
_atom_site_type_symbol
_atom_site_fract_x
_atom_site_fract_y
_atom_site_fract_z
Ac1 Ac 0.000 0.000 0.000
Tl1 Tl 0.375 0.375 0.375
Tl2 Tl 0.375 0.375 0.874
Tl3 Tl 0.375 0.874 0.375
Tl4 Tl 0.874 0.375 0.375
Hg1 Hg 0.750 0.750 0.750

No. 6
# Ac3Tl2Hg9, relaxed, DFT GGA-PBE
# DFT formation energy: -0.303 eV/atom
# Calculated total energy: -0.06305 hartree per atom
data_Ac3Tl2Hg9
_chemical_formula_sum 'Ac3 Tl2 Hg9'
_cell_length_a 9.422
_cell_length_b 9.422
_cell_length_c 5.118
_cell_angle_alpha 105.58
_cell_angle_beta 105.58
_cell_angle_gamma 66.87
_symmetry_space_group_name_H-M 'P 1'
_symmetry_Int_Tables_number 1
loop_
_symmetry_equiv_pos_as_xyz
'x,y,z'
loop_
_atom_site_label
_atom_site_type_symbol
_atom_site_fract_x
_atom_site_fract_y
_atom_site_fract_z
Ac1 Ac 0.000 0.000 0.000
Ac2 Ac 0.293 0.293 0.292
Ac3 Ac 0.707 0.707 0.708
Tl1 Tl 0.321 0.679 0.500
Tl2 Tl 0.679 0.321 0.500
Hg1 Hg 0.019 0.291 0.656
Hg2 Hg 0.133 0.570 0.850
Hg3 Hg 0.291 0.019 0.656
Hg4 Hg 0.430 0.867 0.150
Hg5 Hg 0.500 0.500 0.000
Hg6 Hg 0.570 0.133 0.850
Hg7 Hg 0.709 0.981 0.344
Hg8 Hg 0.867 0.430 0.150
Hg9 Hg 0.981 0.709 0.344

The highest DFT formation energy belongs to which entry?
AcTl6Hg23

Number 3 is which compound?
AcTlHg6